[1]
# GGA-PBE GaPd2Pb, relaxed
# - Energy: -55.185 eV for the cell shown
data_GaPd2Pb
_chemical_formula_sum 'Ga3 Pd6 Pb3'
_symmetry_space_group_name_H-M 'R 3 m'
_symmetry_Int_Tables_number 160
_symmetry_space_group_name_Hall 'R 3 -2"'
_cell_length_a 4.1852
_cell_length_b 4.1852
_cell_length_c 15.5640
_cell_angle_alpha 90.00
_cell_angle_beta 90.00
_cell_angle_gamma 120.00
loop_
_atom_site_label
_atom_site_type_symbol
_atom_site_fract_x
_atom_site_fract_y
_atom_site_fract_z
Ga1 Ga 0.0000 0.0000 0.0000
Pd1 Pd 0.0000 0.0000 0.3791
Pd2 Pd 0.0000 0.0000 0.5973
Pb1 Pb 0.0000 0.0000 0.8158

***

[2]
# GGA-PBE GaPd8Pb2, relaxed
# - Energy: -110.278 eV for the cell shown
data_GaPd8Pb2
_chemical_formula_sum 'Ga2 Pd16 Pb4'
_symmetry_space_group_name_H-M 'C 1 2/m 1'
_symmetry_Int_Tables_number 12
_cell_length_a 15.0295
_cell_length_b 4.6245
_cell_length_c 5.9713
_cell_angle_alpha 90.00
_cell_angle_beta 113.17
_cell_angle_gamma 90.00
loop_
_symmetry_equiv_pos_as_xyz
'x,y,z'
'-x,-y,-z'
'-x,y,-z'
'x,-y,z'
'x+1/2,y+1/2,z'
'-x+1/2,-y+1/2,-z'
'-x+1/2,y+1/2,-z'
'x+1/2,-y+1/2,z'
loop_
_atom_site_label
_atom_site_type_symbol
_atom_site_fract_x
_atom_site_fract_y
_atom_site_fract_z
Ga1 Ga 0.0000 0.0000 0.0000
Pd1 Pd 0.9997 0.5000 0.2414
Pd2 Pd 0.1418 0.0000 0.3956
Pd3 Pd 0.1428 0.0000 0.8903
Pd4 Pd 0.1770 0.5000 0.1776
Pb1 Pb 0.1762 0.5000 0.6757

***

[3]
# GGA-PBE GaPdPb, relaxed
# - Energy: -50.773 eV for the cell shown
data_GaPdPb
_chemical_formula_sum 'Ga4 Pd4 Pb4'
_symmetry_space_group_name_H-M 'P n m a'
_symmetry_Int_Tables_number 62
_cell_length_a 5.6285
_cell_length_b 4.5377
_cell_length_c 10.0869
_cell_angle_alpha 90.00
_cell_angle_beta 90.00
_cell_angle_gamma 90.00
loop_
_symmetry_equiv_pos_as_xyz
'x,y,z'
'-x,-y,-z'
'-x+1/2,-y,z+1/2'
'x+1/2,y,-z+1/2'
'x+1/2,-y+1/2,-z+1/2'
'-x+1/2,y+1/2,z+1/2'
'-x,y+1/2,-z'
'x,-y+1/2,z'
loop_
_atom_site_label
_atom_site_type_symbol
_atom_site_fract_x
_atom_site_fract_y
_atom_site_fract_z
Ga1 Ga 0.1005 0.2500 0.1710
Pd1 Pd 0.1304 0.7500 0.0535
Pb1 Pb 0.1232 0.7500 0.3777

***

[4]
# GGA-PBE GaPd6Pb, relaxed
# - Energy: -40.800 eV for the cell shown
data_GaPd6Pb
_chemical_formula_sum 'Ga1 Pd6 Pb1'
_symmetry_space_group_name_H-M 'P 4/m m m'
_symmetry_Int_Tables_number 123
_symmetry_space_group_name_Hall '-P 4 2'
_cell_length_a 4.0278
_cell_length_b 4.0278
_cell_length_c 7.9975
_cell_angle_alpha 90.00
_cell_angle_beta 90.00
_cell_angle_gamma 90.00
loop_
_atom_site_label
_atom_site_type_symbol
_atom_site_fract_x
_atom_site_fract_y
_atom_site_fract_z
Ga1 Ga 0.0000 0.0000 0.0000
Pd1 Pd 0.0000 0.5000 0.2350
Pd2 Pd 0.5000 0.5000 0.0000
Pd3 Pd 0.5000 0.5000 0.5000
Pb1 Pb 0.0000 0.0000 0.5000

***

[5]
# GGA-PBE GaPd2Pb2, relaxed
# - Energy: -43.768 eV for the cell shown
data_GaPd2Pb2
_chemical_formula_sum 'Ga2 Pd4 Pb4'
_symmetry_space_group_name_H-M 'P 4/m b m'
_symmetry_Int_Tables_number 127
_symmetry_space_group_name_Hall '-P 4 2ab'
_cell_length_a 6.8246
_cell_length_b 6.8246
_cell_length_c 4.6263
_cell_angle_alpha 90.00
_cell_angle_beta 90.00
_cell_angle_gamma 90.00
loop_
_atom_site_label
_atom_site_type_symbol
_atom_site_fract_x
_atom_site_fract_y
_atom_site_fract_z
Ga1 Ga 0.0000 0.0000 0.0000
Pd1 Pd 0.1489 0.3511 0.0000
Pb1 Pb 0.1665 0.6665 0.5000

***

[6]
# GGA-PBE GaPd12Pb3, relaxed
# - Energy: -81.664 eV for the cell shown
data_GaPd12Pb3
_chemical_formula_sum 'Ga1 Pd12 Pb3'
_symmetry_space_group_name_H-M 'P 4/m m m'
_symmetry_Int_Tables_number 123
_symmetry_space_group_name_Hall '-P 4 2'
_cell_length_a 4.0735
_cell_length_b 4.0735
_cell_length_c 16.1786
_cell_angle_alpha 90.00
_cell_angle_beta 90.00
_cell_angle_gamma 90.00
loop_
_atom_site_label
_atom_site_type_symbol
_atom_site_fract_x
_atom_site_fract_y
_atom_site_fract_z
Ga1 Ga 0.0000 0.0000 0.0000
Pd1 Pd 0.0000 0.5000 0.1139
Pd2 Pd 0.0000 0.5000 0.3717
Pd3 Pd 0.5000 0.5000 0.0000
Pd4 Pd 0.5000 0.5000 0.2440
Pd5 Pd 0.5000 0.5000 0.5000
Pb1 Pb 0.0000 0.0000 0.2423
Pb2 Pb 0.0000 0.0000 0.5000

***

[7]
# GGA-PBE GaPdPb, relaxed
# - Energy: -50.521 eV for the cell shown
data_GaPdPb
_chemical_formula_sum 'Ga4 Pd4 Pb4'
_symmetry_space_group_name_H-M 'F -4 3 m'
_symmetry_Int_Tables_number 216
_symmetry_space_group_name_Hall 'F -4 2 3'
_cell_length_a 6.4573
_cell_length_b 6.4573
_cell_length_c 6.4573
_cell_angle_alpha 90.00
_cell_angle_beta 90.00
_cell_angle_gamma 90.00
loop_
_atom_site_label
_atom_site_type_symbol
_atom_site_fract_x
_atom_site_fract_y
_atom_site_fract_z
Ga1 Ga 0.0000 0.0000 0.0000
Pd1 Pd 0.2500 0.2500 0.7500
Pb1 Pb 0.0000 0.0000 0.5000

***

[8]
# GGA-PBE Ga2Pd8Pb, relaxed
# - Energy: -111.892 eV for the cell shown
data_Ga2Pd8Pb
_chemical_formula_sum 'Ga4 Pd16 Pb2'
_symmetry_space_group_name_H-M 'C 1 2/m 1'
_symmetry_Int_Tables_number 12
_cell_length_a 14.3185
_cell_length_b 4.0337
_cell_length_c 6.4981
_cell_angle_alpha 90.00
_cell_angle_beta 109.27
_cell_angle_gamma 90.00
loop_
_symmetry_equiv_pos_as_xyz
'x,y,z'
'-x,-y,-z'
'-x,y,-z'
'x,-y,z'
'x+1/2,y+1/2,z'
'-x+1/2,-y+1/2,-z'
'-x+1/2,y+1/2,-z'
'x+1/2,-y+1/2,z'
loop_
_atom_site_label
_atom_site_type_symbol
_atom_site_fract_x
_atom_site_fract_y
_atom_site_fract_z
Ga1 Ga 0.2074 0.0000 0.1730
Pd1 Pd 0.0365 0.0000 0.2301
Pd2 Pd 0.1004 0.5000 0.9813
Pd3 Pd 0.1693 0.0000 0.7565
Pd4 Pd 0.1788 0.5000 0.4356
Pb1 Pb 0.0000 0.5000 0.5000

***

no.,calculated formation energy (eV per atom)
1,-0.319
2,-0.287
3,-0.255
4,-0.363
5,-0.211
6,-0.325
7,-0.234
8,-0.422